Run i
Here is a geometry-optimized La2TeSe structure from the Alexandria database. Energies are from GGA-PBE.

Summary:
Density of states at the Fermi level ... 2.57 states/eV/f.u.

Cell and atoms, written as POSCAR:
```
La2TeSe
1.0
-3.945 -5.546 1.013
0.060 -6.593 1.970
-0.693 1.277 4.296
La Se Te
2 1 1
Cartesian
-4.446 -10.878 6.705
-1.327 -2.854 2.431
-2.212 -5.619 3.108
-3.462 -7.803 5.952
```

***

Run ii
Here is a geometry-optimized La2TeSe structure from the Alexandria database. Energies are from GGA-PBE.

Summary:
Density of states at the Fermi level ... 3.36 states/eV/f.u.

Cell and atoms, written as POSCAR:
```
La2TeSe
1.0
-2.721 7.489 -0.349
-2.986 4.865 -5.569
0.160 -7.112 3.606
La Se Te
2 1 1
Cartesian
-5.507 11.920 -5.710
-2.418 2.650 0.450
-3.086 6.680 -3.200
-3.098 2.524 -2.728
```

***

Run iii
Here is a geometry-optimized La2TeSe structure from the Alexandria database. Energies are from GGA-PBE.

Summary:
Density of states at the Fermi level ... 3.23 states/eV/f.u.

Cell and atoms, written as POSCAR:
```
La2TeSe
1.0
3.828 0.000 0.000
0.000 3.824 0.015
0.000 3.786 7.681
La Se Te
2 1 1
Cartesian
0.000 3.824 0.082
0.000 3.805 3.781
1.914 1.903 1.924
1.914 5.708 5.772
```

***

Run iv
Here is a geometry-optimized La2TeSe structure from the Alexandria database. Energies are from GGA-PBE.

Summary:
Density of states at the Fermi level ... 4.84 states/eV/f.u.

Cell and atoms, written as POSCAR:
```
La2TeSe
1.0
-1.153 6.848 0.938
-5.683 -1.480 3.823
0.488 2.553 8.136
Te Se La
2 2 4
Cartesian
0.000 0.000 0.000
-2.042 6.042 5.727
-3.418 2.684 2.380
-4.306 1.878 7.169
-1.280 4.563 3.075
-3.602 0.739 4.564
-2.338 3.891 7.982
-5.474 6.648 10.173
```

***

If we sort the structures by their calculated energies, the order from most to least stable is run ii, run i, run iii, run iv.

***

Run i
Here is a geometry-optimized LaTeSe3 structure from the Alexandria database. Energies are from GGA-PBE.

Summary:
Density of states at the Fermi level ... 6.62 states/eV/f.u.

Cell and atoms, written as POSCAR:
```
LaTeSe3
1.0
-1.604 -3.540 -4.227
4.664 1.476 -3.006
2.940 -4.273 2.463
Te Se La
1 3 1
Cartesian
3.000 -3.169 -2.385
2.332 0.738 -1.503
1.470 -2.137 1.232
-0.802 -1.770 -2.113
0.000 0.000 0.000
```

***

Run ii
Here is a geometry-optimized LaTeSe3 structure from the Alexandria database. Energies are from GGA-PBE.

Summary:
Density of states at the Fermi level ... 1.87 states/eV/f.u.

Cell and atoms, written as POSCAR:
```
LaTeSe3
1.0
-1.110 5.190 -0.542
0.032 -0.547 -5.306
-5.218 -1.107 0.083
Te Se La
1 3 1
Cartesian
0.000 0.000 0.000
0.016 -0.273 -2.653
-2.609 -0.554 0.041
-0.555 2.595 -0.271
-3.148 1.768 -2.883
```

***

If we sort the structures by their calculated energies, the order from most to least stable is run ii, run i.